# CoHg2Cl | Alexandria | PBE | optimized geometry
# * calculated volume: 176 Å³ per cell
# * energy above the lowest structure with this stoichiometry: 0.439 eV/atom
# * raw formation energy: 0.420 eV/atom
# * total moment: 0.501 μB/atom
data_CoHg2Cl
_chemical_formula_sum 'Co2 Hg4 Cl2'
_space_group_name_H-M_alt 'I 4/m m m'
_space_group_IT_number 139
_space_group_name_Hall '-I 4 2'
_cell_length_a 3.995
_cell_length_b 3.995
_cell_length_c 11.006
_cell_angle_alpha 90.00
_cell_angle_beta 90.00
_cell_angle_gamma 90.00
loop_
_atom_site_label
_atom_site_type_symbol
_atom_site_fract_x
_atom_site_fract_y
_atom_site_fract_z
Co1 Co 0.000 0.000 0.000
Hg1 Hg 0.000 0.500 0.250
Cl1 Cl 0.000 0.000 0.500

---

# Ta2PtPb | Alexandria | PBE | optimized geometry
# * calculated volume: 153 Å³ per cell
# * formation energy: 0.1135 eV per atom
# * total moment: 0.000 μB/atom
data_Ta2PtPb
_chemical_formula_sum 'Ta4 Pt2 Pb2'
_space_group_name_H-M_alt 'C 1 m 1'
_space_group_IT_number 8
_cell_length_a 11.052
_cell_length_b 2.980
_cell_length_c 5.110
_cell_angle_alpha 90.00
_cell_angle_beta 114.86
_cell_angle_gamma 90.00
loop_
_space_group_symop_operation_xyz
'x,y,z'
'x,-y,z'
'x+1/2,y+1/2,z'
'x+1/2,-y+1/2,z'
loop_
_atom_site_label
_atom_site_type_symbol
_atom_site_fract_x
_atom_site_fract_y
_atom_site_fract_z
Ta1 Ta 0.000 0.000 0.000
Ta2 Ta 0.250 0.000 0.888
Pt1 Pt 0.034 0.500 0.510
Pb1 Pb 0.280 0.500 0.402

---

# YHo2HgO | Alexandria | PBE | optimized geometry
# * calculated volume: 107 Å³ per cell
# * raw formation energy: -1.395 eV/atom
# * total moment: 0.000 μB/atom
data_YHo2HgO
_chemical_formula_sum 'Y1 Ho2 Hg1 O1'
_space_group_name_H-M_alt 'P 4/m m m'
_space_group_IT_number 123
_space_group_name_Hall '-P 4 2'
_cell_length_a 4.737
_cell_length_b 4.737
_cell_length_c 4.777
_cell_angle_alpha 90.00
_cell_angle_beta 90.00
_cell_angle_gamma 90.00
loop_
_atom_site_label
_atom_site_type_symbol
_atom_site_fract_x
_atom_site_fract_y
_atom_site_fract_z
Y1 Y 0.000 0.000 0.000
Ho1 Ho 0.000 0.500 0.500
Hg1 Hg 0.500 0.500 0.000
O1 O 0.000 0.000 0.500

---

# TaNb6Mo5 | Alexandria | PBE | optimized geometry
# * calculated volume: 410 Å³ per cell
# * formation energy: -0.1175 eV per atom
# * total moment: 0.000 μB/atom
data_TaNb6Mo5
_chemical_formula_sum 'Ta2 Nb12 Mo10'
_space_group_name_H-M_alt 'C m m m'
_space_group_IT_number 65
_space_group_name_Hall '-C 2 2'
_cell_length_a 4.596
_cell_length_b 13.758
_cell_length_c 6.489
_cell_angle_alpha 90.00
_cell_angle_beta 90.00
_cell_angle_gamma 90.00
loop_
_atom_site_label
_atom_site_type_symbol
_atom_site_fract_x
_atom_site_fract_y
_atom_site_fract_z
Ta1 Ta 0.000 0.000 0.000
Nb1 Nb 0.000 0.169 0.252
Nb2 Nb 0.000 0.500 0.254
Mo1 Mo 0.000 0.000 0.500
Mo2 Mo 0.000 0.333 0.500
Mo3 Mo 0.000 0.335 0.000